# 1
# BaLaMg2Fe (GGA-PBE, optimized geometry)
# Total energy (eV per atom): -3.63
data_BaLaMg2Fe
_chemical_formula_sum 'Ba1 La1 Mg2 Fe1'
_cell_length_a 5.408
_cell_length_b 5.408
_cell_length_c 4.913
_cell_angle_alpha 90.00
_cell_angle_beta 90.00
_cell_angle_gamma 90.00
_space_group_name_H-M_alt 'P 4/m m m'
_space_group_IT_number 123
_space_group_name_Hall '-P 4 2'
loop_
_atom_site_label
_atom_site_type_symbol
_atom_site_fract_x
_atom_site_fract_y
_atom_site_fract_z
Ba1 Ba 0.000 0.000 0.000
La1 La 0.500 0.500 0.000
Mg1 Mg 0.000 0.500 0.500
Fe1 Fe 0.500 0.500 0.500

---

# 2
# CaFeOs (GGA-PBE, optimized geometry)
# Offset from the most stable computed form (meV per atom): 62
data_CaFeOs
_chemical_formula_sum 'Ca2 Fe2 Os2'
_cell_length_a 4.984
_cell_length_b 4.338
_cell_length_c 5.600
_cell_angle_alpha 90.00
_cell_angle_beta 108.47
_cell_angle_gamma 90.00
_space_group_name_H-M_alt 'P 1 m 1'
_space_group_IT_number 6
_space_group_name_Hall 'P -2y'
loop_
_atom_site_label
_atom_site_type_symbol
_atom_site_fract_x
_atom_site_fract_y
_atom_site_fract_z
Ca1 Ca 0.000 0.000 0.000
Ca2 Ca 0.490 0.500 0.928
Fe1 Fe 0.356 0.500 0.400
Fe2 Fe 0.603 0.000 0.434
Os1 Os 0.160 0.000 0.534
Os2 Os 0.883 0.500 0.498

---

# 3
# Ta4InW (GGA-PBE, optimized geometry)
# Total energy (eV per atom): -10.06
data_Ta4InW
_chemical_formula_sum 'Ta16 In4 W4'
_cell_length_a 7.694
_cell_length_b 7.694
_cell_length_c 7.694
_cell_angle_alpha 90.00
_cell_angle_beta 90.00
_cell_angle_gamma 90.00
_space_group_name_H-M_alt 'F -4 3 m'
_space_group_IT_number 216
_space_group_name_Hall 'F -4 2 3'
loop_
_atom_site_label
_atom_site_type_symbol
_atom_site_fract_x
_atom_site_fract_y
_atom_site_fract_z
Ta1 Ta 0.124 0.124 0.124
In1 In 0.000 0.000 0.500
W1 W 0.250 0.250 0.750

---

# 4
# TiZnAs2Se (GGA-PBE, optimized geometry)
# ΔE_f (raw) (kcal/mol of atoms): 2.2
# Offset from the most stable computed form (meV per atom): 0
data_TiZnAs2Se
_chemical_formula_sum 'Ti1 Zn1 As2 Se1'
_cell_length_a 4.937
_cell_length_b 4.937
_cell_length_c 4.874
_cell_angle_alpha 90.00
_cell_angle_beta 90.00
_cell_angle_gamma 90.00
_space_group_name_H-M_alt 'P 4/m m m'
_space_group_IT_number 123
_space_group_name_Hall '-P 4 2'
loop_
_atom_site_label
_atom_site_type_symbol
_atom_site_fract_x
_atom_site_fract_y
_atom_site_fract_z
Ti1 Ti 0.000 0.000 0.000
Zn1 Zn 0.500 0.500 0.500
As1 As 0.000 0.500 0.000
Se1 Se 0.000 0.000 0.500

---

# 5
# Tc4BiRh2 (GGA-PBE, optimized geometry)
# Total energy (eV per atom): -6.67
data_Tc4BiRh2
_chemical_formula_sum 'Tc8 Bi2 Rh4'
_cell_length_a 4.939
_cell_length_b 4.939
_cell_length_c 12.683
_cell_angle_alpha 90.00
_cell_angle_beta 90.00
_cell_angle_gamma 90.00
_space_group_name_H-M_alt 'I 4/m m m'
_space_group_IT_number 139
_space_group_name_Hall '-I 4 2'
loop_
_atom_site_label
_atom_site_type_symbol
_atom_site_fract_x
_atom_site_fract_y
_atom_site_fract_z
Tc1 Tc 0.000 0.000 0.213
Tc2 Tc 0.000 0.500 0.000
Bi1 Bi 0.000 0.000 0.000
Rh1 Rh 0.000 0.000 0.394

---

# 6
# Tl3SbPd7 (GGA-PBE, optimized geometry)
# ΔE_f (raw) (kcal/mol of atoms): -2.6
data_Tl3SbPd7
_chemical_formula_sum 'Tl6 Sb2 Pd14'
_cell_length_a 9.107
_cell_length_b 9.696
_cell_length_c 5.443
_cell_angle_alpha 90.00
_cell_angle_beta 115.08
_cell_angle_gamma 90.00
_space_group_name_H-M_alt 'C 1 2/m 1'
_space_group_IT_number 12
_space_group_name_Hall '-C 2y'
loop_
_atom_site_label
_atom_site_type_symbol
_atom_site_fract_x
_atom_site_fract_y
_atom_site_fract_z
Tl1 Tl 0.000 0.000 0.000
Tl2 Tl 0.000 0.219 0.500
Sb1 Sb 0.000 0.500 0.000
Pd1 Pd 0.000 0.500 0.500
Pd2 Pd 0.170 0.250 0.177
Pd3 Pd 0.211 0.000 0.541

---

# 7
# Ru2PbCl (GGA-PBE, optimized geometry)
# ΔE_f (raw) (kcal/mol of atoms): 15.6
# Offset from the most stable computed form (meV per atom): 510
data_Ru2PbCl
_chemical_formula_sum 'Ru4 Pb2 Cl2'
_cell_length_a 2.997
_cell_length_b 5.277
_cell_length_c 8.864
_cell_angle_alpha 90.00
_cell_angle_beta 90.00
_cell_angle_gamma 90.00
_space_group_name_H-M_alt 'I m m m'
_space_group_IT_number 71
_space_group_name_Hall '-I 2 2'
loop_
_atom_site_label
_atom_site_type_symbol
_atom_site_fract_x
_atom_site_fract_y
_atom_site_fract_z
Ru1 Ru 0.000 0.000 0.236
Pb1 Pb 0.000 0.500 0.000
Cl1 Cl 0.000 0.500 0.500

---

# 8
# PuSbAuO (GGA-PBE, optimized geometry)
# ΔE_f (raw) (kcal/mol of atoms): -32.0
data_PuSbAuO
_chemical_formula_sum 'Pu2 Sb2 Au2 O2'
_cell_length_a 4.052
_cell_length_b 4.052
_cell_length_c 9.997
_cell_angle_alpha 90.00
_cell_angle_beta 90.00
_cell_angle_gamma 90.00
_space_group_name_H-M_alt 'P 4/n m m'
_space_group_IT_number 129
loop_
_space_group_symop_operation_xyz
'x,y,z'
'-x,-y,-z'
'-y+1/2,x,z'
'y+1/2,-x,-z'
'-x+1/2,-y+1/2,z'
'x+1/2,y+1/2,-z'
'y,-x+1/2,z'
'-y,x+1/2,-z'
'x+1/2,-y,-z'
'-x+1/2,y,z'
'-y,-x,-z'
'y,x,z'
'-x,y+1/2,-z'
'x,-y+1/2,z'
'y+1/2,x+1/2,-z'
'-y+1/2,-x+1/2,z'
loop_
_atom_site_label
_atom_site_type_symbol
_atom_site_fract_x
_atom_site_fract_y
_atom_site_fract_z
Pu1 Pu 0.250 0.250 0.114
Sb1 Sb 0.250 0.250 0.703
Au1 Au 0.250 0.750 0.500
O1 O 0.250 0.750 0.000

---

# 9
# Ca2LaAgIr (GGA-PBE, optimized geometry)
# Total energy (eV per atom): -4.38
data_Ca2LaAgIr
_chemical_formula_sum 'Ca2 La1 Ag1 Ir1'
_cell_length_a 5.539
_cell_length_b 5.539
_cell_length_c 5.435
_cell_angle_alpha 90.00
_cell_angle_beta 90.00
_cell_angle_gamma 90.00
_space_group_name_H-M_alt 'P 4/m m m'
_space_group_IT_number 123
_space_group_name_Hall '-P 4 2'
loop_
_atom_site_label
_atom_site_type_symbol
_atom_site_fract_x
_atom_site_fract_y
_atom_site_fract_z
Ca1 Ca 0.000 0.500 0.000
La1 La 0.000 0.000 0.500
Ag1 Ag 0.500 0.500 0.500
Ir1 Ir 0.000 0.000 0.000

---

# 10
# Pa2RuW (GGA-PBE, optimized geometry)
# Total energy (eV per atom): -10.25
data_Pa2RuW
_chemical_formula_sum 'Pa6 Ru3 W3'
_cell_length_a 4.8883
_cell_length_b 4.8883
_cell_length_c 12.0220
_cell_angle_alpha 90.00
_cell_angle_beta 90.00
_cell_angle_gamma 120.00
_space_group_name_H-M_alt 'R -3 m'
_space_group_IT_number 166
_space_group_name_Hall '-R 3 2"'
loop_
_atom_site_label
_atom_site_type_symbol
_atom_site_fract_x
_atom_site_fract_y
_atom_site_fract_z
Pa1 Pa 0.0000 0.0000 0.2500
Ru1 Ru 0.0000 0.0000 0.0000
W1 W 0.0000 0.0000 0.5000